## V2CdSn2 (PBE)

Data for a relaxed V2CdSn2 crystal.

Summary:
Total moment (μB/f.u.): 0.0
ΔH_f (0 K) (meV/atom): 164
Offset from the most stable computed form (meV/atom): 0
Total energy (eV per atom): -5.267

Cell: 7.4245 7.4245 3.5135 Å, 90.00 90.00 90.00°
Space group P4/mbm (No. 127)
Asymmetric unit:
V  0.1131  0.3869  0.0000 x4
Cd  0.0000  0.0000  0.0000 x2
Sn  0.1778  0.6778  0.5000 x4